The following is a DFT calculation (PBEsol) of crystalline LiHW3 at its relaxed geometry.

## Properties
Calculated total energy in eV/atom: -6.96
DOS(E_F) in states/eV/cell: 2.79

The structure in extended XYZ format:
```
5
Lattice="4.130 0.000 0.000 0.000 4.130 0.000 0.000 0.000 4.130" Properties=species:S:1:pos:R:3 pbc="T T T"
Li 0.000 0.000 0.000
H 2.065 2.065 2.065
W 0.000 0.000 2.065
W 0.000 2.065 0.000
W 2.065 0.000 0.000
```